i.
SrCdMo2: optimized geometry, PBE-GGA.

Unit cell a=3.090 b=4.990 c=10.914 alpha=90.00 beta=90.00 gamma=90.00
Space group Immm (No. 71)
Unique sites:
Sr  0.000  0.000  0.000 x2
Cd  0.000  0.000  0.500 x2
Mo  0.000  0.500  0.233 x4

Total moment: 0.0 μB per formula unit
DOS at the Fermi energy: 7.198 states/eV/cell
Density: 7.734 Mg/m³

ii.
SrCdMo2: optimized geometry, PBE-GGA.

Unit cell a=3.219 b=4.897 c=5.287 alpha=90.00 beta=90.00 gamma=90.00
Space group Pmmm (No. 47)
Unique sites:
Sr  0.000  0.000  0.000 x1
Cd  0.500  0.500  0.000 x1
Mo  0.000  0.500  0.500 x1
Mo  0.500  0.000  0.500 x1

Total moment: 0.0 μB per formula unit
DOS at the Fermi energy: 4.524 states/eV/cell
Density: 7.809 Mg/m³

iii.
SrCdMo2: optimized geometry, PBE-GGA.

Unit cell a=3.341 b=3.342 c=8.099 alpha=90.00 beta=91.95 gamma=90.00
Space group Pm (No. 6)
Unique sites:
Sr  0.000  0.000  0.000 x1
Cd  0.522  0.500  0.320 x1
Mo  0.053  0.000  0.554 x1
Mo  0.499  0.500  0.699 x1

Total moment: 0.0 μB per formula unit
DOS at the Fermi energy: 3.558 states/eV/cell
Density: 7.202 Mg/m³

Which structure is the most stable? The one labeled iii.

i.
SrCdMo2: optimized geometry, PBE-GGA.

Unit cell a=6.930 b=6.930 c=6.930 alpha=90.00 beta=90.00 gamma=90.00
Space group F-43m (No. 216)
Unique sites:
Sr  0.000  0.000  0.000 x4
Cd  0.250  0.250  0.250 x4
Mo  0.000  0.000  0.500 x4
Mo  0.250  0.250  0.750 x4

Total moment: 1.2 μB per formula unit
DOS at the Fermi energy: 15.075 states/eV/cell
Density: 7.823 Mg/m³

ii.
SrCdMo2: optimized geometry, PBE-GGA.

Unit cell a=3.744 b=3.744 c=6.981 alpha=90.00 beta=90.00 gamma=90.00
Space group P4/mmm (No. 123)
Unique sites:
Sr  0.000  0.000  0.000 x1
Cd  0.000  0.000  0.500 x1
Mo  0.500  0.500  0.342 x2

Total moment: 0.0 μB per formula unit
DOS at the Fermi energy: 3.858 states/eV/cell
Density: 6.650 Mg/m³

iii.
SrCdMo2: optimized geometry, PBE-GGA.

Unit cell a=4.241 b=4.241 c=21.245 alpha=90.00 beta=90.00 gamma=90.00
Space group I-42d (No. 122)
Unique sites:
Sr  0.000  0.000  0.000 x4
Cd  0.000  0.000  0.500 x4
Mo  0.162  0.250  0.625 x8

Total moment: 0.0 μB per formula unit
DOS at the Fermi energy: 24.484 states/eV/cell
Density: 6.812 Mg/m³

Which structure is the most stable? The one labeled ii.